(1)
First-principles (meta-GGA SCAN) data for CsZr3Cl at its PBEsol-relaxed geometry, as listed in the Alexandria database.

ρ = 6.1 g cm⁻³
Energy relative to the elements, uncorrected = 3.2 eV per formula unit
M_tot = 0.0 Bohr magnetons per cell
E = -134.68 eV/cell
Symmetry = Pm-3m

Unit cell a=4.9448 b=4.9448 c=4.9448 alpha=90.00 beta=90.00 gamma=90.00
Positions (direct):
Cs (0.5000, 0.5000, 0.5000)
Zr (0.0000, 0.5000, 0.0000)
Zr (0.0000, 0.0000, 0.5000)
Zr (0.5000, 0.0000, 0.0000)
Cl (0.0000, 0.0000, 0.0000)

(2)
First-principles (meta-GGA SCAN) data for TePAuO2 at its PBEsol-relaxed geometry, as listed in the Alexandria database.

ρ = 8.2 g cm⁻³
Energy relative to the elements, uncorrected = 2.1 eV per formula unit
M_tot = 0.0 Bohr magnetons per cell
E = -127.17 eV/cell
Polymorph energy (0 for the lowest one) = 558.2 meV per atom
Symmetry = P4/mmm

Unit cell a=4.0371 b=4.0371 c=4.8302 alpha=90.00 beta=90.00 gamma=90.00
Positions (direct):
P (0.0000, 0.0000, 0.5000)
Te (0.5000, 0.5000, 0.5000)
Au (0.0000, 0.0000, 0.0000)
O (0.0000, 0.5000, 0.0000)
O (0.5000, 0.0000, 0.0000)

(3)
First-principles (meta-GGA SCAN) data for TlCu2GeAs at its PBEsol-relaxed geometry, as listed in the Alexandria database.

ρ = 6.6 g cm⁻³
M_tot = 0.0 Bohr magnetons per cell
E = -136.22 eV/cell
E_form = 1.164 eV per atom
Symmetry = P4/mmm

Unit cell a=4.7393 b=4.7393 c=5.3294 alpha=90.00 beta=90.00 gamma=90.00
Positions (direct):
Tl (0.0000, 0.0000, 0.0000)
Ge (0.5000, 0.5000, 0.5000)
As (0.0000, 0.0000, 0.5000)
Cu (0.0000, 0.5000, 0.0000)
Cu (0.5000, 0.0000, 0.0000)

(4)
First-principles (meta-GGA SCAN) data for Sb2PbCl at its PBEsol-relaxed geometry, as listed in the Alexandria database.

ρ = 7.2 g cm⁻³
Energy relative to the elements, uncorrected = -0.5 eV per formula unit
M_tot = 0.0 Bohr magnetons per cell
E = -158.80 eV/cell
Polymorph energy (0 for the lowest one) = 71.6 meV per atom
Symmetry = Imm2

Unit cell a=4.3175 b=5.9482 c=5.6896 alpha=121.52 beta=112.30 gamma=90.00
Positions (direct):
Pb (0.2169, 0.7169, 0.4337)
Sb (0.0318, 0.0318, 0.0636)
Sb (0.7499, 0.2499, 0.4999)
Cl (0.5014, 0.5014, 0.0028)

(5)
First-principles (meta-GGA SCAN) data for Na2NbAg at its PBEsol-relaxed geometry, as listed in the Alexandria database.

ρ = 4.6 g cm⁻³
M_tot = 4.3 Bohr magnetons per cell
E = -69.24 eV/cell
Polymorph energy (0 for the lowest one) = 0.0 meV per atom
E_form = 0.921 eV per atom
Symmetry = Fm-3m

Unit cell a=5.0039 b=5.0039 c=5.0039 alpha=60.00 beta=60.00 gamma=60.00
Site moments in Bohr magnetons follow the coordinates.
Positions (direct):
Na (0.2500, 0.2500, 0.2500)  0.04
Na (0.7500, 0.7500, 0.7500)  0.04
Nb (0.0000, 0.0000, 0.0000)  2.82
Ag (0.5000, 0.5000, 0.5000)  0.01

(6)
First-principles (meta-GGA SCAN) data for CoCu5 at its PBEsol-relaxed geometry, as listed in the Alexandria database.

ρ = 9.4 g cm⁻³
M_tot = 1.8 Bohr magnetons per cell
E = -92.71 eV/cell
E_form = 0.099 eV per atom
Symmetry = Amm2

Unit cell a=2.4564 b=4.1306 c=6.6864 alpha=90.00 beta=100.58 gamma=90.00
Site moments in Bohr magnetons follow the coordinates.
Positions (direct):
Co (0.9991, 0.0000, 0.9981)  1.84
Cu (0.2238, 0.5000, 0.4477)  -0.02
Cu (0.3328, 0.0000, 0.6655)  0.03
Cu (0.5558, 0.5000, 0.1117)  0.04
Cu (0.6641, 0.0000, 0.3282)  0.02
Cu (0.8911, 0.5000, 0.7822)  0.02

no.,V (Å³/atom)
1,24.181
2,15.745
3,23.940
4,27.887
5,22.148
6,11.115